This record from the Alexandria database describes crystalline NaLa2AuO5 at its relaxed geometry. The functional is GGA-PBE.

VASP energy	-0.241	hartree per atom

a b c (Å): 6.9429 6.9429 5.9775
angles (deg): 90.00 90.00 90.00
Space group P4/mbm (No. 127)
One atom of each set of equivalent atoms:
Na 0.0000 0.0000 0.0000 (multiplicity 2)
La 0.1813 0.3187 0.5000 (multiplicity 4)
Au 0.0000 0.5000 0.0000 (multiplicity 2)
O 0.0000 0.0000 0.5000 (multiplicity 2)
O 0.1365 0.6365 0.2500 (multiplicity 8)